# Tb2ScHg, optimized geometry, DFT PBE-GGA
# * energy relative to the lowest polymorph listed for this composition: 0.077 eV per atom
data_Tb2ScHg
_cell_length_a 3.5686
_cell_length_b 3.5686
_cell_length_c 30.7604
_cell_angle_alpha 90.00
_cell_angle_beta 90.00
_cell_angle_gamma 120.00
_symmetry_space_group_name_H-M 'R 3 m'
_symmetry_Int_Tables_number 160
_symmetry_space_group_name_Hall 'R 3 -2"'
loop_
_atom_site_label
_atom_site_fract_x
_atom_site_fract_y
_atom_site_fract_z
Tb1 0.0000 0.0000 0.0000
Tb2 0.0000 0.0000 0.1732
Sc1 0.0000 0.0000 0.4198
Hg1 0.0000 0.0000 0.5865

---

# Cu2SiPRu, optimized geometry, DFT PBE-GGA
# * formation energy from raw total energies: 0.8499 eV/atom
data_Cu2SiPRu
_cell_length_a 4.1735
_cell_length_b 4.1735
_cell_length_c 4.6486
_cell_angle_alpha 90.00
_cell_angle_beta 90.00
_cell_angle_gamma 90.00
_symmetry_space_group_name_H-M 'P 4/m m m'
_symmetry_Int_Tables_number 123
_symmetry_space_group_name_Hall '-P 4 2'
loop_
_atom_site_label
_atom_site_fract_x
_atom_site_fract_y
_atom_site_fract_z
Cu1 0.0000 0.5000 0.0000
Si1 0.0000 0.0000 0.5000
P1 0.0000 0.0000 0.0000
Ru1 0.5000 0.5000 0.5000

---

# MgRuAu3, optimized geometry, DFT PBE-GGA
# * energy relative to the lowest polymorph listed for this composition: 0.000 eV per atom
data_MgRuAu3
_cell_length_a 5.0343
_cell_length_b 5.0343
_cell_length_c 5.0343
_cell_angle_alpha 90.00
_cell_angle_beta 90.00
_cell_angle_gamma 90.00
_symmetry_space_group_name_H-M 'P m -3 m'
_symmetry_Int_Tables_number 221
_symmetry_space_group_name_Hall '-P 4 2 3'
loop_
_atom_site_label
_atom_site_fract_x
_atom_site_fract_y
_atom_site_fract_z
Mg1 0.0000 0.0000 0.0000
Ru1 0.5000 0.5000 0.5000
Au1 0.0000 0.5000 0.5000

---

# BeTcHg2, optimized geometry, DFT PBE-GGA
# * DFT total energy: -36.183 eV per cell
data_BeTcHg2
_cell_length_a 2.9680
_cell_length_b 2.9680
_cell_length_c 26.2494
_cell_angle_alpha 90.00
_cell_angle_beta 90.00
_cell_angle_gamma 120.00
_symmetry_space_group_name_H-M 'R -3 m'
_symmetry_Int_Tables_number 166
_symmetry_space_group_name_Hall '-R 3 2"'
loop_
_atom_site_label
_atom_site_fract_x
_atom_site_fract_y
_atom_site_fract_z
Be1 0.0000 0.0000 0.0000
Tc1 0.0000 0.0000 0.5000
Hg1 0.0000 0.0000 0.2578

---

# Mg2ZrMn, optimized geometry, DFT PBE-GGA
# * DFT total energy: -40.169 eV per cell
data_Mg2ZrMn
_cell_length_a 3.2023
_cell_length_b 5.1019
_cell_length_c 9.8161
_cell_angle_alpha 90.00
_cell_angle_beta 90.00
_cell_angle_gamma 90.00
_symmetry_space_group_name_H-M 'I m m 2'
_symmetry_Int_Tables_number 44
_symmetry_space_group_name_Hall 'I 2 -2'
loop_
_atom_site_label
_atom_site_fract_x
_atom_site_fract_y
_atom_site_fract_z
Mg1 0.0000 0.0000 0.0000
Mg2 0.0000 0.5000 0.2376
Zr1 0.0000 0.0000 0.4570
Mn1 0.0000 0.5000 0.7340

---

# Pm2V2Ni15, optimized geometry, DFT PBE-GGA
# * DFT total energy: -356.395 eV per cell
data_Pm2V2Ni15
_cell_length_a 8.3454
_cell_length_b 8.3454
_cell_length_c 12.2888
_cell_angle_alpha 90.00
_cell_angle_beta 90.00
_cell_angle_gamma 120.00
_symmetry_space_group_name_H-M 'R -3 m'
_symmetry_Int_Tables_number 166
_symmetry_space_group_name_Hall '-R 3 2"'
loop_
_atom_site_label
_atom_site_fract_x
_atom_site_fract_y
_atom_site_fract_z
Pm1 0.0000 0.0000 0.1562
V1 0.0000 0.0000 0.4101
Ni1 0.0000 0.2958 0.5000
Ni2 0.0000 0.5000 0.0000
Ni3 0.0047 0.5023 0.3435